Computed, not measured: crystalline Ba2OsPt at its relaxed geometry at the PBE level of DFT.

For the energy relative to the lowest polymorph listed for this composition, the calculation gives 493 meV per atom. The final energy is -19.2 eV for the cell shown. As for the density: 9.87 g/cm3.

The structure belongs to space group Pmmm (No. 47); the cell edges are 3.3403, 3.9489 and 8.4158 Å and the angles 90.00°, 90.00° and 90.00°. The asymmetric unit holds Ba at (0.0000, 0.0000, 0.2480), Os at (0.5000, 0.5000, 0.5000) and Pt at (0.5000, 0.5000, 0.0000).

---

Computed, not measured: crystalline Cs2InAu6 at its relaxed geometry at the PBE level of DFT.

The final energy is -51.5 eV for the cell shown. As for the density: 8.12 g/cm3.

The structure belongs to space group C2/m (No. 12); the cell edges are 12.8772, 7.4329 and 6.6785 Å and the angles 90.00°, 90.86° and 90.00°. The asymmetric unit holds Cs at (0.1656, 0.0000, 0.4000), In at (0.0000, 0.5000, 0.0000), Au at (0.1043, 0.1850, 0.9224) and Au at (0.2108, 0.5000, 0.0745).

---

Computed, not measured: crystalline Dy12Y3Tm at its relaxed geometry at the PBE level of DFT.

The final energy is -78.8 eV for the cell shown. As for the density: 7.86 g/cm3.

The structure belongs to space group P4/mmm (No. 123); the cell edges are 5.0152, 5.0152 and 20.0436 Å and the angles 90.00°, 90.00° and 90.00°. The asymmetric unit holds Dy at (0.0000, 0.0000, 0.0000), Dy at (0.0000, 0.0000, 0.2490), Dy at (0.0000, 0.0000, 0.5000), Dy at (0.0000, 0.5000, 0.1237), Dy at (0.0000, 0.5000, 0.3745), Y at (0.5000, 0.5000, 0.2492), Y at (0.5000, 0.5000, 0.5000) and Tm at (0.5000, 0.5000, 0.0000).

---

Computed, not measured: crystalline ErCuSb at its relaxed geometry at the PBE level of DFT.

The calculation puts the energy relative to the elements, uncorrected at -53.0 kJ per mole of atoms. The final energy is -57.7 eV for the cell shown. As for the density: 8.79 g/cm3.

The structure belongs to space group F-43m (No. 216); the cell edges are 6.4340, 6.4340 and 6.4340 Å and the angles 90.00°, 90.00° and 90.00°. The asymmetric unit holds Er at (0.0000, 0.0000, 0.0000), Cu at (0.2500, 0.2500, 0.7500) and Sb at (0.0000, 0.0000, 0.5000).

---

Computed, not measured: crystalline NaSrP at its relaxed geometry at the PBE level of DFT.

The final energy is -32.4 eV for the cell shown. As for the density: 3.05 g/cm3.

The structure belongs to space group P-62m (No. 189); the cell edges are 7.7123, 7.7123 and 4.4875 Å and the angles 90.00°, 90.00° and 120.00°. The asymmetric unit holds Na at (0.0000, 0.7579, 0.0000), Sr at (0.0000, 0.4139, 0.5000), P at (0.0000, 0.0000, 0.5000) and P at (0.3333, 0.6667, 0.0000).

---

Computed, not measured: crystalline Ba3Tl4O9 at its relaxed geometry at the PBE level of DFT.

The calculation puts the energy relative to the elements, uncorrected at -133.6 kJ per mole of atoms. The final energy is -246.0 eV for the cell shown. As for the density: 8.00 g/cm3.

The structure belongs to space group R3 (No. 146, hexagonal axes); the cell edges are 6.1754, 6.1754 and 25.8871 Å and the angles 90.00°, 90.00° and 120.00°. The asymmetric unit holds Ba at (0.0000, 0.0000, 0.0000), Ba at (0.0000, 0.0000, 0.1673), Ba at (0.0000, 0.0000, 0.5711), Tl at (0.0000, 0.0000, 0.3034), Tl at (0.0000, 0.0000, 0.4258), Tl at (0.0000, 0.0000, 0.7440), Tl at (0.0000, 0.0000, 0.8676), O at (0.0200, 0.5913, 0.0312), O at (0.0938, 0.3369, 0.9180) and O at (0.1068, 0.7630, 0.4773).

---

Computed, not measured: crystalline PrEuHoTm at its relaxed geometry at the PBE level of DFT.

The final energy is -94.0 eV for the cell shown. As for the density: 7.62 g/cm3.

The structure belongs to space group F-43m (No. 216); the cell edges are 8.1765, 8.1765 and 8.1765 Å and the angles 90.00°, 90.00° and 90.00°. The asymmetric unit holds Pr at (0.0000, 0.0000, 0.0000), Eu at (0.2500, 0.2500, 0.2500), Ho at (0.0000, 0.0000, 0.5000) and Tm at (0.2500, 0.2500, 0.7500).

---

Computed, not measured: crystalline K2CuAgCl4 at its relaxed geometry at the PBE level of DFT.

The calculation puts the energy relative to the elements, uncorrected at -113.0 kJ per mole of atoms. The final energy is -103.6 eV for the cell shown. As for the density: 2.46 g/cm3.

The structure belongs to space group Imma (No. 74); the cell edges are 9.8005, 10.3048 and 10.4814 Å and the angles 90.00°, 90.00° and 90.00°. The asymmetric unit holds K at (0.0000, 0.0000, 0.0000), K at (0.2500, 0.2500, 0.2500), Cu at (0.2500, 0.2500, 0.7500), Ag at (0.0000, 0.0000, 0.5000), Cl at (0.0000, 0.0618, 0.2820) and Cl at (0.2043, 0.2500, 0.9480).

---

Computed, not measured: crystalline BaIn2Pt at its relaxed geometry at the PBE level of DFT.

The final energy is -126.6 eV for the cell shown. As for the density: 8.55 g/cm3.

The structure belongs to space group Pnma (No. 62); the cell edges are 17.1459, 8.0815 and 6.3006 Å and the angles 90.00°, 90.00° and 90.00°. The asymmetric unit holds Ba at (0.1030, 0.2500, 0.2138), Ba at (0.1348, 0.7500, 0.0241), In at (0.0434, 0.0584, 0.7112), In at (0.2128, 0.5541, 0.5177), Pt at (0.0729, 0.7500, 0.5120) and Pt at (0.1845, 0.2500, 0.7367).

---

Computed, not measured: crystalline FeRe3 at its relaxed geometry at the PBE level of DFT.

The final energy is -91.6 eV for the cell shown. As for the density: 18.23 g/cm3.

The structure belongs to space group P6_3/mmc (No. 194); the cell edges are 5.4355, 5.4355 and 4.3758 Å and the angles 90.00°, 90.00° and 120.00°. The asymmetric unit holds Fe at (0.3333, 0.6667, 0.2500) and Re at (0.1674, 0.3348, 0.7500).

---

Computed, not measured: crystalline CaScP2Cl at its relaxed geometry at the PBE level of DFT.

For the energy relative to the lowest polymorph listed for this composition, the calculation gives 861 meV per atom. The calculation puts the energy relative to the elements, uncorrected at 1.8 kJ per mole of atoms. The final energy is -20.9 eV for the cell shown. As for the density: 2.30 g/cm3.

The structure belongs to space group P4/mmm (No. 123); the cell edges are 5.1538, 5.1538 and 4.9557 Å and the angles 90.00°, 90.00° and 90.00°. The asymmetric unit holds Ca at (0.0000, 0.0000, 0.0000), Sc at (0.5000, 0.5000, 0.5000), P at (0.0000, 0.5000, 0.0000) and Cl at (0.0000, 0.0000, 0.5000).

---

Computed, not measured: crystalline Dy2FeRe3 at its relaxed geometry at the PBE level of DFT.

The final energy is -168.0 eV for the cell shown. As for the density: 14.24 g/cm3.

The structure belongs to space group R-3m (No. 166, hexagonal axes); the cell edges are 5.3028, 5.3028 and 13.4951 Å and the angles 90.00°, 90.00° and 120.00°. The asymmetric unit holds Dy at (0.0000, 0.0000, 0.1247), Fe at (0.0000, 0.0000, 0.5000) and Re at (0.0000, 0.5000, 0.0000).